First-principles (GGA-PBE) data for crystalline ScSbP2 at its relaxed geometry, as listed in Alexandria.

Density of states at the Fermi level (states/eV per cell): 2.52
M_tot (μB/atom): 0.00
Raw total energy (Ry per atom): -0.4163

CIF file:
```
data_ScSbP2
_chemical_formula_sum 'Sc1 Sb1 P2'
_cell_length_a 5.010
_cell_length_b 5.010
_cell_length_c 5.450
_cell_angle_alpha 91.53
_cell_angle_beta 91.53
_cell_angle_gamma 38.16
_space_group_name_H-M_alt 'P 1'
_space_group_IT_number 1
_space_group_name_Hall 'P 1'
loop_
_atom_site_label
_atom_site_type_symbol
_atom_site_fract_x
_atom_site_fract_y
_atom_site_fract_z
Sb1 Sb 0.250 0.250 0.250
P1 P 0.471 0.471 0.611
P2 P 0.029 0.029 0.889
Sc1 Sc 0.750 0.750 0.750
```

=====

First-principles (GGA-PBE) data for crystalline Sc3SbP at its relaxed geometry, as listed in Alexandria.

Density of states at the Fermi level (states/eV per cell): 7.93
M_tot (μB/atom): 0.07
Raw total energy (Ry per atom): -0.4882
Relative energy among the computed polymorphs (meV/atom): 105.9

CIF file:
```
data_Sc3SbP
_chemical_formula_sum 'Sc6 Sb2 P2'
_cell_length_a 3.910
_cell_length_b 7.832
_cell_length_c 7.833
_cell_angle_alpha 72.99
_cell_angle_beta 90.00
_cell_angle_gamma 90.00
_space_group_name_H-M_alt 'P 1'
_space_group_IT_number 1
_space_group_name_Hall 'P 1'
loop_
_atom_site_label
_atom_site_type_symbol
_atom_site_fract_x
_atom_site_fract_y
_atom_site_fract_z
Sc1 Sc 0.863 0.378 0.809
Sc2 Sc 0.363 0.019 0.071
Sc3 Sc 0.863 0.631 0.062
Sc4 Sc 0.363 0.370 0.422
Sc5 Sc 0.863 0.010 0.684
Sc6 Sc 0.863 0.757 0.431
Sb1 Sb 0.363 0.694 0.746
Sb2 Sb 0.863 0.194 0.246
P1 P 0.363 0.694 0.246
P2 P 0.363 0.194 0.746
```

=====

First-principles (GGA-PBE) data for crystalline Sc3SbP at its relaxed geometry, as listed in Alexandria.

Density of states at the Fermi level (states/eV per cell): 5.67
M_tot (μB/atom): 0.00
Raw total energy (Ry per atom): -0.4763
Relative energy among the computed polymorphs (meV/atom): 267.2

CIF file:
```
data_Sc3SbP
_chemical_formula_sum 'Sc3 Sb1 P1'
_cell_length_a 4.878
_cell_length_b 4.878
_cell_length_c 4.878
_cell_angle_alpha 90.00
_cell_angle_beta 90.00
_cell_angle_gamma 90.00
_space_group_name_H-M_alt 'P 1'
_space_group_IT_number 1
_space_group_name_Hall 'P 1'
loop_
_atom_site_label
_atom_site_type_symbol
_atom_site_fract_x
_atom_site_fract_y
_atom_site_fract_z
Sb1 Sb 0.500 0.500 0.500
Sc1 Sc 0.000 0.000 0.500
Sc2 Sc 0.500 0.000 0.000
Sc3 Sc 0.000 0.500 0.000
P1 P 0.000 0.000 0.000
```

=====

First-principles (GGA-PBE) data for crystalline ScSbP2 at its relaxed geometry, as listed in Alexandria.

Density of states at the Fermi level (states/eV per cell): 0.53
M_tot (μB/atom): 0.00
Raw total energy (Ry per atom): -0.4339

CIF file:
```
data_ScSbP2
_chemical_formula_sum 'Sc1 Sb1 P2'
_cell_length_a 3.862
_cell_length_b 3.937
_cell_length_c 6.774
_cell_angle_alpha 55.32
_cell_angle_beta 90.00
_cell_angle_gamma 90.00
_space_group_name_H-M_alt 'P 1'
_space_group_IT_number 1
_space_group_name_Hall 'P 1'
loop_
_atom_site_label
_atom_site_type_symbol
_atom_site_fract_x
_atom_site_fract_y
_atom_site_fract_z
P1 P 0.500 0.135 0.366
P2 P 0.000 0.153 0.871
Sc1 Sc 0.500 0.667 0.861
Sb1 Sb 0.000 0.546 0.402
```

=====

First-principles (GGA-PBE) data for crystalline ScSbP2 at its relaxed geometry, as listed in Alexandria.

Density of states at the Fermi level (states/eV per cell): 1.70
M_tot (μB/atom): 0.00
Raw total energy (Ry per atom): -0.3966

CIF file:
```
data_ScSbP2
_chemical_formula_sum 'Sc1 Sb1 P2'
_cell_length_a 5.390
_cell_length_b 5.390
_cell_length_c 5.390
_cell_angle_alpha 135.28
_cell_angle_beta 135.28
_cell_angle_gamma 65.09
_space_group_name_H-M_alt 'P 1'
_space_group_IT_number 1
_space_group_name_Hall 'P 1'
loop_
_atom_site_label
_atom_site_type_symbol
_atom_site_fract_x
_atom_site_fract_y
_atom_site_fract_z
Sb1 Sb 0.250 0.750 0.500
Sc1 Sc 0.750 0.250 0.500
P1 P 0.000 0.000 0.000
P2 P 0.500 0.500 0.000
```

=====

First-principles (GGA-PBE) data for crystalline ScSbP2 at its relaxed geometry, as listed in Alexandria.

Density of states at the Fermi level (states/eV per cell): 0.49
M_tot (μB/atom): 0.00
Raw total energy (Ry per atom): -0.4285

CIF file:
```
data_ScSbP2
_chemical_formula_sum 'Sc1 Sb1 P2'
_cell_length_a 5.701
_cell_length_b 5.701
_cell_length_c 4.016
_cell_angle_alpha 90.27
_cell_angle_beta 90.27
_cell_angle_gamma 37.93
_space_group_name_H-M_alt 'P 1'
_space_group_IT_number 1
_space_group_name_Hall 'P 1'
loop_
_atom_site_label
_atom_site_type_symbol
_atom_site_fract_x
_atom_site_fract_y
_atom_site_fract_z
Sb1 Sb 0.497 0.497 0.373
P1 P 0.016 0.016 0.884
P2 P 0.266 0.266 0.372
Sc1 Sc 0.722 0.722 0.871
```

=====

First-principles (GGA-PBE) data for crystalline Sc6SbP2Se3 at its relaxed geometry, as listed in Alexandria.

Density of states at the Fermi level (states/eV per cell): 5.40
M_tot (μB/atom): 0.00
Raw total energy (Ry per atom): -0.4980

CIF file:
```
data_Sc6SbP2Se3
_chemical_formula_sum 'Sc6 Sb1 P2 Se3'
_cell_length_a 3.860
_cell_length_b 7.837
_cell_length_c 8.720
_cell_angle_alpha 103.09
_cell_angle_beta 102.79
_cell_angle_gamma 90.00
_space_group_name_H-M_alt 'P 1'
_space_group_IT_number 1
_space_group_name_Hall 'P 1'
loop_
_atom_site_label
_atom_site_type_symbol
_atom_site_fract_x
_atom_site_fract_y
_atom_site_fract_z
Sc1 Sc 0.011 0.267 0.022
Sc2 Sc 0.326 0.887 0.652
Sc3 Sc 0.674 0.572 0.349
Sc4 Sc 0.989 0.733 0.978
Sc5 Sc 0.326 0.428 0.651
Sc6 Sc 0.674 0.113 0.348
Se1 Se 0.837 0.166 0.675
Se2 Se 0.500 0.500 0.000
Se3 Se 0.163 0.834 0.325
Sb1 Sb 0.500 0.000 0.000
P1 P 0.832 0.662 0.663
P2 P 0.168 0.338 0.337
```

=====

First-principles (GGA-PBE) data for crystalline ScSbPSe2 at its relaxed geometry, as listed in Alexandria.

Density of states at the Fermi level (states/eV per cell): 2.64
M_tot (μB/atom): 0.00
Raw total energy (Ry per atom): -0.3149

CIF file:
```
data_ScSbPSe2
_chemical_formula_sum 'Sc1 Sb1 P1 Se2'
_cell_length_a 5.219
_cell_length_b 5.005
_cell_length_c 5.219
_cell_angle_alpha 90.00
_cell_angle_beta 90.00
_cell_angle_gamma 90.00
_space_group_name_H-M_alt 'P 1'
_space_group_IT_number 1
_space_group_name_Hall 'P 1'
loop_
_atom_site_label
_atom_site_type_symbol
_atom_site_fract_x
_atom_site_fract_y
_atom_site_fract_z
Se1 Se 0.500 0.000 0.000
Se2 Se 0.000 0.000 0.500
P1 P 0.000 0.500 0.000
Sc1 Sc 0.500 0.500 0.500
Sb1 Sb 0.000 0.000 0.000
```